Entry from Alexandria via LeMat-Bulk: crystalline K2CoH2F6 at its relaxed geometry (PBE with a Hubbard U).

Geometry as POSCAR:
```
K2CoH2F6
1.0
4.5967 -2.8669 0.0000
4.5967 2.8669 0.0000
-3.6546 0.0000 5.3745
K Co H F
2 1 2 6
direct
0.2384 0.2384 0.1995
0.7616 0.7616 0.8005
0.0000 0.0000 0.5000
0.3842 0.3842 0.7564
0.6158 0.6158 0.2436
0.2257 0.7383 0.7025
0.2617 0.7743 0.2975
0.2954 0.2954 0.7953
0.7046 0.7046 0.2047
0.7383 0.2257 0.7025
0.7743 0.2617 0.2975
```

* total energy: -4.4371 eV per atom
* magnetization: 0.273 μB/atom
* symmetry: No. 12
* calculated density: 2.967 g/cm³